[1]
A plane-wave DFT calculation with PBE was carried out for ScInRu2 after structural relaxation.

a = 2.942 Å, b = 2.942 Å, c = 8.086 Å
α = 90.00°, β = 90.00°, γ = 90.00°
Space group P4mm (No. 99)
Unique sites:
Sc (0.000, 0.000, 0.000) (multiplicity 1)
In (0.500, 0.500, 0.311) (multiplicity 1)
Ru (0.000, 0.000, 0.561) (multiplicity 1)
Ru (0.500, 0.500, 0.757) (multiplicity 1)

Output
E_form   -3.293 kcal/mol of atoms


[2]
A plane-wave DFT calculation with PBE was carried out for ScInRu2 after structural relaxation.

a = 3.254 Å, b = 3.254 Å, c = 6.336 Å
α = 90.00°, β = 90.00°, γ = 90.00°
Space group P4/mmm (No. 123)
Unique sites:
Sc (0.000, 0.000, 0.000) (multiplicity 1)
In (0.000, 0.000, 0.500) (multiplicity 1)
Ru (0.500, 0.500, 0.249) (multiplicity 2)

Output
E_form   -5.426 kcal/mol of atoms


[3]
A plane-wave DFT calculation with PBE was carried out for ScIn4Ru after structural relaxation.

a = 8.117 Å, b = 8.117 Å, c = 8.117 Å
α = 90.00°, β = 90.00°, γ = 90.00°
Space group F-43m (No. 216)
Unique sites:
Sc (0.000, 0.000, 0.000) (multiplicity 4)
In (0.125, 0.125, 0.625) (multiplicity 16)
Ru (0.250, 0.250, 0.250) (multiplicity 4)

Output
E_form   8.960 kcal/mol of atoms


[4]
A plane-wave DFT calculation with PBE was carried out for ScInRu2 after structural relaxation.

a = 3.253 Å, b = 4.916 Å, c = 8.584 Å
α = 90.00°, β = 90.00°, γ = 90.00°
Space group Cmmm (No. 65)
Unique sites:
Sc (0.000, 0.000, 0.000) (multiplicity 2)
In (0.000, 0.000, 0.500) (multiplicity 2)
Ru (0.000, 0.500, 0.243) (multiplicity 4)

Output
E_form   0.976 kcal/mol of atoms


Question: Among the records above, which one has the lowest E_form?
Answer: number 2